A plane-wave DFT calculation with PBE was carried out for an optimized crystal structure of KAgSbTe2.

Unit cell a=6.0054 b=6.0054 c=5.8838 alpha=90.00 beta=90.00 gamma=90.00
Last column: nearest neighbours and their distance in Å.
Atoms (fractional coordinates):
Sb  0.0000  0.0000  0.5000  2 K 2.94
K  0.0000  0.0000  0.0000  2 Sb 2.94, 4 Te 3.00
Te  0.0000  0.5000  0.0000  2 K 3.00
Te  0.5000  0.0000  0.0000  2 K 3.00
Ag  0.5000  0.5000  0.5000  8 Te 4.20, 4 Sb 4.25

DOS(E_F) = 7.423 states/eV/cell
magnetic moment = 0.004 μB/cell
calculated volume = 42.4 Å³ per atom
offset from the most stable computed form = 1374 meV/atom
space-group type = P4/mmm